LiAcZnIr | PBE-GGA | relaxed

Output
As for the formation energy: -0.398 eV/atom. As for the density of states at the Fermi level: 2.45 states/eV per cell.

Cell lengths 4.455, 4.453, 5.689 Å; angles 113.02, 90.00, 120.02 degrees
Element x y z (fractional)
Ac  0.626  0.251  0.519
Ir  0.416  0.831  0.889
Li  0.819  0.638  0.099
Zn  0.106  0.213  0.961

=====

FeIr2Cl2 | PBE-GGA | relaxed

Output
As for the total energy: -5.268 eV per atom. As for the density of states at the Fermi level: 6.15 states/eV per cell.

Cell lengths 3.394, 3.394, 11.291 Å; angles 81.36, 81.36, 90.00 degrees
Each line ends with the local moment (μB).
Element x y z (fractional)
Fe  0.000  0.000  0.000  3.52
Cl  0.433  0.433  0.134  0.14
Ir  0.750  0.250  0.500  -0.07
Cl  0.567  0.567  0.866  0.14
Ir  0.250  0.750  0.500  -0.07

=====

Nb2In2Pb | PBE-GGA | relaxed

Output
As for the formation energy: 0.194 eV/atom. As for the density of states at the Fermi level: 6.26 states/eV per cell.

Cell lengths 7.381, 7.381, 4.142 Å; angles 90.00, 90.00, 90.00 degrees
Element x y z (fractional)
Pb  0.500  0.500  0.000
Nb  0.370  0.870  0.000
In  0.335  0.165  0.500
In  0.165  0.665  0.500
Nb  0.130  0.370  0.000
Nb  0.630  0.130  0.000
In  0.665  0.835  0.500
In  0.835  0.335  0.500
Pb  0.000  0.000  0.000
Nb  0.870  0.630  0.000

=====

K3Ce3ErSe8 | PBE-GGA | relaxed

Output
As for the total energy: -5.284 eV per atom. As for the density of states at the Fermi level: 13.16 states/eV per cell.

Cell lengths 8.565, 8.565, 9.205 Å; angles 117.73, 90.01, 120.00 degrees
Each line ends with the local moment (μB).
Element x y z (fractional)
Se  0.736  0.473  0.709  -0.02
Se  0.230  0.970  0.700  -0.02
K  0.000  0.000  0.000  0.00
Se  0.260  0.030  0.300  -0.02
Se  0.770  0.540  0.300  -0.02
Se  0.264  0.527  0.291  -0.02
K  0.000  0.500  0.000  0.00
K  0.500  0.500  0.000  0.00
Ce  0.500  0.500  0.500  0.70
Er  0.000  0.000  0.500  0.00
Ce  0.500  0.000  0.500  0.70
Se  0.770  0.030  0.300  -0.02
Se  0.230  0.460  0.700  -0.02
Se  0.740  0.970  0.700  -0.02
Ce  0.000  0.500  0.500  0.70

=====

LiHfW2C | PBE-GGA | relaxed

Output
As for the formation energy: 1.540 eV/atom. As for the density of states at the Fermi level: 3.01 states/eV per cell.

Cell lengths 4.473, 4.473, 3.501 Å; angles 90.00, 90.00, 90.00 degrees
Element x y z (fractional)
Hf  0.500  0.500  0.500
W  0.500  0.000  0.000
W  0.000  0.500  0.000
C  0.000  0.000  0.500
Li  0.000  0.000  0.000

=====

Ce2InRu | PBE-GGA | relaxed

Output
As for the formation energy: -0.262 eV/atom. As for the density of states at the Fermi level: 34.92 states/eV per cell.

Cell lengths 7.207, 6.139, 9.379 Å; angles 90.00, 90.00, 90.00 degrees
Each line ends with the local moment (μB).
Element x y z (fractional)
Ru  0.061  0.500  0.164  -0.03
Ce  0.255  0.500  0.912  0.15
Ru  0.561  0.000  0.664  -0.03
Ce  0.755  0.500  0.088  0.15
Ce  0.052  0.000  0.043  0.75
Ru  0.061  0.000  0.336  -0.03
Ce  0.052  0.500  0.457  0.75
In  0.882  0.250  0.750  0.00
In  0.882  0.750  0.750  0.00
Ce  0.552  0.000  0.957  0.75
Ce  0.552  0.500  0.543  0.75
Ru  0.561  0.500  0.836  -0.03
Ce  0.755  0.000  0.412  0.15
In  0.382  0.250  0.250  0.00
In  0.382  0.750  0.250  0.00
Ce  0.255  0.000  0.588  0.15

=====

CeTaB2 | PBE-GGA | relaxed

Output
As for the formation energy: -0.094 eV/atom. As for the density of states at the Fermi level: 3.55 states/eV per cell.

Cell lengths 3.366, 3.366, 6.499 Å; angles 74.99, 74.99, 60.00 degrees
Element x y z (fractional)
B  0.735  0.735  0.795
Ta  0.000  0.000  0.000
Ce  0.500  0.500  0.500
B  0.265  0.265  0.205

=====

CsRb2ZnFe | PBE-GGA | relaxed

Output
As for the formation energy: 0.909 eV/atom. As for the density of states at the Fermi level: 13.13 states/eV per cell.

Cell lengths 6.750, 6.973, 6.750 Å; angles 90.00, 90.00, 90.00 degrees
Each line ends with the local moment (μB).
Element x y z (fractional)
Cs  0.000  0.500  0.000  0.00
Zn  0.000  0.000  0.000  0.01
Rb  0.500  0.000  0.000  0.00
Fe  0.500  0.500  0.500  3.21
Rb  0.000  0.000  0.500  0.00